Record 1
First-principles (GGA-PBE) data for crystalline Sn5Te5I at its relaxed geometry, as listed in the Alexandria database.

Cell lengths 6.3492, 9.0938, 7.7314 Å; angles 106.99, 114.24, 90.00 degrees
Last column: nearest neighbours and their distance in Å.
Fractional positions:
Sn  0.1823  0.8222  0.3645  5 Te 3.00-3.22
Sn  0.1686  0.3582  0.3371  5 Te 3.05-3.33, 1 I 3.36
Sn  0.5000  0.0000  0.0000  4 Te 3.14-3.17, 2 I 3.17
Sn  0.8314  0.6418  0.6629  5 Te 3.05-3.33, 1 I 3.36
Sn  0.8177  0.1778  0.6355  5 Te 3.00-3.22
Te  0.3407  0.6663  0.6813  5 Sn 3.00-3.18
Te  0.3306  0.1597  0.6612  5 Sn 3.11-3.33
Te  0.0000  0.5000  0.0000  4 Sn 3.05-3.22
Te  0.6694  0.8403  0.3388  5 Sn 3.11-3.33
Te  0.6593  0.3337  0.3187  5 Sn 3.00-3.18
I  0.0000  0.0000  0.0000  6 Sn 3.17-3.45

Output
theoretical density = 5.85 g/cm³
ΔE_f (raw) = -5.26 kcal/mol of atoms

Record 2
First-principles (GGA-PBE) data for crystalline LaCe2Dy3Y6 at its relaxed geometry, as listed in the Alexandria database.

Cell lengths 6.1858, 6.1858, 11.8128 Å; angles 95.00, 95.00, 120.01 degrees
Last column: nearest neighbours and their distance in Å.
Fractional positions:
La  0.0000  0.0000  0.0000  6 Ce 3.57, 6 Y 3.58
Ce  0.3334  0.6666  0.0000  6 Y 3.57, 3 La 3.57, 3 Ce 3.57
Ce  0.6666  0.3334  0.0000  6 Y 3.57, 3 La 3.57, 3 Ce 3.57
Dy  0.1665  0.8335  0.5000  6 Y 3.55-3.56, 6 Dy 3.57
Dy  0.8335  0.1665  0.5000  6 Y 3.55-3.56, 6 Dy 3.57
Dy  0.5000  0.5000  0.5000  6 Y 3.55-3.56, 6 Dy 3.57
Y  0.9161  0.5798  0.7492  3 Dy 3.55-3.56, 6 Y 3.56-3.60, 2 Ce 3.57, 1 La 3.58
Y  0.7476  0.7476  0.2509  3 Dy 3.55-3.56, 6 Y 3.56-3.60, 2 Ce 3.57, 1 La 3.58
Y  0.0839  0.4202  0.2508  3 Dy 3.55-3.56, 6 Y 3.56-3.60, 2 Ce 3.57, 1 La 3.58
Y  0.5798  0.9161  0.7492  3 Dy 3.55-3.56, 6 Y 3.56-3.60, 2 Ce 3.57, 1 La 3.58
Y  0.2524  0.2524  0.7491  3 Dy 3.55-3.56, 6 Y 3.56-3.60, 2 Ce 3.57, 1 La 3.58
Y  0.4202  0.0839  0.2508  3 Dy 3.55-3.56, 6 Y 3.56-3.60, 2 Ce 3.57, 1 La 3.58

Output
ΔH_f (0 K) = 0.053 eV per atom
theoretical density = 6.20 g/cm³

Record 3
First-principles (GGA-PBE) data for crystalline Sc3NbNi8 at its relaxed geometry, as listed in the Alexandria database.

Cell lengths 4.8614, 4.8614, 8.4523 Å; angles 73.26, 73.26, 60.01 degrees
Last column: nearest neighbours and their distance in Å.
Fractional positions:
Sc  0.3742  0.3742  0.8776  12 Ni 2.85-2.88, 4 Sc 2.97-3.01
Sc  0.0006  0.0006  0.9979  12 Ni 2.85-2.89, 1 Nb 2.95, 3 Sc 2.97
Sc  0.4999  0.4999  0.5001  12 Ni 2.82-2.85, 3 Nb 3.00, 1 Sc 3.01
Nb  0.8773  0.8773  0.3684  12 Ni 2.80-2.88, 4 Sc 2.95-3.00
Ni  0.9334  0.4370  0.1927  6 Ni 2.41-2.47
Ni  0.4405  0.9377  0.6839  6 Ni 2.41-2.46
Ni  0.4370  0.4370  0.1928  6 Ni 2.41-2.47
Ni  0.9378  0.9378  0.6839  6 Ni 2.41-2.46
Ni  0.1871  0.1871  0.4389  6 Ni 2.41-2.42
Ni  0.6876  0.6876  0.9374  6 Ni 2.46-2.47
Ni  0.4370  0.9334  0.1927  6 Ni 2.41-2.47
Ni  0.9377  0.4405  0.6839  6 Ni 2.41-2.46

Output
ΔH_f (0 K) = -0.418 eV per atom
theoretical density = 7.10 g/cm³